# 1
Below is a geometry-optimized HfTiNbPb structure, with properties calculated at the GGA-PBE level.

a b c (Å): 4.832 4.832 4.832
angles (deg): 60.00 60.00 60.00
Fractional coordinates of all 4 atoms:
Ti 0.500 0.500 0.500
Hf 0.000 0.000 0.000
Nb 0.750 0.750 0.750
Pb 0.250 0.250 0.250

Values from the calculation:
Volume, Å³ per cell: 80
Final energy, eV/cell: -31.30
Spin magnetization, μB per formula unit: 0.0
SG: No. 216

# 2
Below is a geometry-optimized HfNbTl2Pb structure, with properties calculated at the GGA-PBE level.

a b c (Å): 5.499 5.537 5.499
angles (deg): 90.00 90.00 90.00
Site moments in Bohr magnetons follow the coordinates.
Fractional coordinates of all 5 atoms:
Tl 0.500 0.000 0.000  -0.03
Hf 0.000 0.000 0.000  -0.25
Nb 0.500 0.500 0.500  2.72
Pb 0.000 0.500 0.000  -0.05
Tl 0.000 0.000 0.500  -0.02

Values from the calculation:
Volume, Å³ per cell: 167
Final energy, eV/cell: -22.31
Spin magnetization, μB per formula unit: 3.0
SG: No. 123

# 3
Below is a geometry-optimized HfZrNbPb structure, with properties calculated at the GGA-PBE level.

a b c (Å): 4.955 4.955 4.955
angles (deg): 60.00 60.00 60.00
Fractional coordinates of all 4 atoms:
Nb 0.000 0.000 0.000
Zr 0.250 0.250 0.250
Pb 0.500 0.500 0.500
Hf 0.750 0.750 0.750

Values from the calculation:
Volume, Å³ per cell: 86
Final energy, eV/cell: -32.07
Spin magnetization, μB per formula unit: 0.0
SG: No. 216

# 4
Below is a geometry-optimized HfNb2Pd2 structure, with properties calculated at the GGA-PBE level.

a b c (Å): 7.723 7.723 3.034
angles (deg): 90.00 90.00 90.00
Fractional coordinates of all 10 atoms:
Pd 0.124 0.376 0.000
Nb 0.176 0.676 0.500
Pd 0.624 0.124 0.000
Pd 0.376 0.876 0.000
Nb 0.324 0.176 0.500
Hf 0.500 0.500 0.000
Pd 0.876 0.624 0.000
Nb 0.824 0.324 0.500
Nb 0.676 0.824 0.500
Hf 0.000 0.000 0.000

Values from the calculation:
Volume, Å³ per cell: 181
Final energy, eV/cell: -82.31
Spin magnetization, μB per formula unit: 0.0
SG: No. 127

# 5
Below is a geometry-optimized Hf2NbPd2 structure, with properties calculated at the GGA-PBE level.

a b c (Å): 7.717 7.717 3.154
angles (deg): 90.00 90.00 90.00
Fractional coordinates of all 10 atoms:
Hf 0.337 0.837 0.000
Pd 0.636 0.864 0.500
Hf 0.837 0.663 0.000
Pd 0.136 0.636 0.500
Pd 0.864 0.364 0.500
Nb 0.500 0.500 0.000
Nb 0.000 0.000 0.000
Hf 0.663 0.163 0.000
Hf 0.163 0.337 0.000
Pd 0.364 0.136 0.500

Values from the calculation:
Volume, Å³ per cell: 188
Final energy, eV/cell: -83.80
Spin magnetization, μB per formula unit: 0.0
SG: No. 127

# 6
Below is a geometry-optimized Hf3NbPd structure, with properties calculated at the GGA-PBE level.

a b c (Å): 5.007 5.007 5.007
angles (deg): 90.00 90.00 90.00
Fractional coordinates of all 5 atoms:
Hf 0.500 0.000 0.000
Nb 0.000 0.000 0.000
Hf 0.000 0.500 0.000
Pd 0.500 0.500 0.500
Hf 0.000 0.000 0.500

Values from the calculation:
Volume, Å³ per cell: 126
Final energy, eV/cell: -39.95
Spin magnetization, μB per formula unit: 0.0
SG: No. 221